VASP calculation (GGA-PBE) on a relaxed GeAsAuO crystal.

The structure belongs to space group Pmc2_1 (No. 26); the cell edges are 3.591, 6.708 and 6.463 Å and the angles 90.00°, 90.00° and 90.00°. The asymmetric unit holds Ge at (0.000, 0.204, 0.000), As at (0.000, 0.152, 0.385), Au at (0.500, 0.347, 0.542) and O at (0.500, 0.299, 0.943).

The calculation puts the energy at -4.58 eV/atom.

VASP calculation (GGA-PBE) on a relaxed Ba2BiOsSe6 crystal.

The structure belongs to space group P-1 (No. 2); the cell edges are 6.834, 7.067 and 7.511 Å and the angles 64.85°, 66.64° and 65.94°. The asymmetric unit holds Ba at (0.238, 0.266, 0.243), Bi at (0.500, 0.500, 0.500), Os at (0.000, 0.000, 0.000), Se at (0.133, 0.766, 0.319), Se at (0.232, 0.691, 0.840) and Se at (0.329, 0.146, 0.828).

The calculation puts the energy at -4.74 eV/atom.

What did the second record say?
VASP calculation (GGA-PBE) on a relaxed Ba2BiOsSe6 crystal.

The structure belongs to space group P-1 (No. 2); the cell edges are 6.834, 7.067 and 7.511 Å and the angles 64.85°, 66.64° and 65.94°. The asymmetric unit holds Ba at (0.238, 0.266, 0.243), Bi at (0.500, 0.500, 0.500), Os at (0.000, 0.000, 0.000), Se at (0.133, 0.766, 0.319), Se at (0.232, 0.691, 0.840) and Se at (0.329, 0.146, 0.828).

The calculation puts the energy at -4.74 eV/atom.